Record 1
Entry from Alexandria via LeMat-Bulk: crystalline La2CuHgRh at its relaxed geometry (GGA-PBE).

Values from the calculation:
Formation enthalpy at 0 K (meV per atom): -479

a = 7.3748 Å, b = 4.3791 Å, c = 8.0042 Å
α = 90.00°, β = 103.49°, γ = 90.00°
With the nearest neighbours (Å) after each atom.
Space group P2_1/m (No. 11)
One atom of each set of equivalent atoms:
1 La 0.1440 0.2500 0.3428 (multiplicity 2)  2 Rh 2.97, 2 Cu 3.13
2 La 0.2775 0.2500 0.9354 (multiplicity 2)  3 Rh 2.87-2.92, 1 Cu 3.16
3 Cu 0.4350 0.7500 0.3024 (multiplicity 2)  1 Rh 2.52, 2 Hg 2.70
4 Hg 0.3459 0.7500 0.6411 (multiplicity 2)  3 Cu 2.70-2.93
5 Rh 0.1234 0.7500 0.0890 (multiplicity 2)  1 Cu 2.52

=====

Record 2
Entry from Alexandria via LeMat-Bulk: crystalline LaCuHg2Ru at its relaxed geometry (GGA-PBE).

Values from the calculation:
Formation enthalpy at 0 K (meV per atom): 1076

a = 6.2578 Å, b = 6.2578 Å, c = 4.6830 Å
α = 90.00°, β = 90.00°, γ = 90.00°
With the nearest neighbours (Å) after each atom.
Space group P4/mmm (No. 123)
One atom of each set of equivalent atoms:
1 La 0.0000 0.0000 0.0000 (multiplicity 1)  2 Ru 2.34
2 Cu 0.5000 0.5000 0.5000 (multiplicity 1)  8 Hg 3.91
3 Hg 0.0000 0.5000 0.0000 (multiplicity 2)  2 La 3.13
4 Ru 0.0000 0.0000 0.5000 (multiplicity 1)  2 La 2.34

=====

Record 3
Entry from Alexandria via LeMat-Bulk: crystalline LaCu2HgS at its relaxed geometry (GGA-PBE).

Values from the calculation:
E_form (uncorrected) (eV per formula unit): 0.37

a = 4.7418 Å, b = 4.7418 Å, c = 5.4570 Å
α = 90.00°, β = 90.00°, γ = 90.00°
With the nearest neighbours (Å) after each atom.
Space group P4/mmm (No. 123)
One atom of each set of equivalent atoms:
1 La 0.0000 0.0000 0.0000 (multiplicity 1)  4 S 3.35, 8 Cu 3.61
2 Cu 0.0000 0.5000 0.5000 (multiplicity 2)  2 Hg 2.37
3 Hg 0.5000 0.5000 0.5000 (multiplicity 1)  4 Cu 2.37
4 S 0.5000 0.5000 0.0000 (multiplicity 1)  2 Hg 2.73

=====

Record 4
Entry from Alexandria via LeMat-Bulk: crystalline LaSmCuHg at its relaxed geometry (GGA-PBE).

Values from the calculation:
Excess energy over the best structure of this formula in the dataset (meV per atom): 28.1
Formation enthalpy at 0 K (meV per atom): -284

a = 7.5031 Å, b = 7.5031 Å, c = 7.5031 Å
α = 90.00°, β = 90.00°, γ = 90.00°
With the nearest neighbours (Å) after each atom.
Space group F-43m (No. 216)
One atom of each set of equivalent atoms:
1 La 0.0000 0.0000 0.0000 (multiplicity 4)  4 Cu 3.25, 4 Hg 3.25
2 Sm 0.0000 0.0000 0.5000 (multiplicity 4)  4 Hg 3.25, 4 Cu 3.25
3 Cu 0.2500 0.2500 0.2500 (multiplicity 4)  4 La 3.25, 4 Sm 3.25
4 Hg 0.2500 0.2500 0.7500 (multiplicity 4)  4 La 3.25, 4 Sm 3.25

=====

Record 5
Entry from Alexandria via LeMat-Bulk: crystalline LaSmCuHg at its relaxed geometry (GGA-PBE).

Values from the calculation:
Excess energy over the best structure of this formula in the dataset (meV per atom): 0.0
Formation enthalpy at 0 K (meV per atom): -313

a = 3.6933 Å, b = 3.6933 Å, c = 7.6164 Å
α = 90.00°, β = 90.00°, γ = 90.00°
With the nearest neighbours (Å) after each atom.
Space group P4mm (No. 99)
One atom of each set of equivalent atoms:
1 La 0.0000 0.0000 0.0000 (multiplicity 1)  4 Cu 3.22, 4 Hg 3.39, 1 Sm 3.47
2 Sm 0.0000 0.0000 0.4561 (multiplicity 1)  4 Cu 3.05, 4 Hg 3.27
3 Cu 0.5000 0.5000 0.2483 (multiplicity 1)  4 Sm 3.05, 4 La 3.22
4 Hg 0.5000 0.5000 0.7155 (multiplicity 1)  4 Sm 3.27, 4 La 3.39, 1 Cu 3.56

=====

Record 6
Entry from Alexandria via LeMat-Bulk: crystalline La2Cu4Sn3Hg at its relaxed geometry (GGA-PBE).

Values from the calculation:
Formation enthalpy at 0 K (meV per atom): -417

a = 4.5228 Å, b = 4.5228 Å, c = 10.6336 Å
α = 90.00°, β = 90.00°, γ = 90.00°
With the nearest neighbours (Å) after each atom.
Space group P-4m2 (No. 115)
One atom of each set of equivalent atoms:
1 La 0.0000 0.5000 0.2375 (multiplicity 2)  8 Cu 3.39-3.48, 6 Sn 3.41-3.59, 2 Hg 3.59
2 Cu 0.0000 0.0000 0.0000 (multiplicity 1)  4 Sn 2.64
3 Cu 0.0000 0.5000 0.6340 (multiplicity 2)  3 Sn 2.54-2.67, 2 Hg 2.67
4 Cu 0.5000 0.5000 0.0000 (multiplicity 1)  4 Sn 2.64
5 Sn 0.0000 0.5000 0.8728 (multiplicity 2)  5 Cu 2.54-2.64
6 Sn 0.5000 0.5000 0.5000 (multiplicity 1)  4 Cu 2.67
7 Hg 0.0000 0.0000 0.5000 (multiplicity 1)  4 Cu 2.67

=====

Record 7
Entry from Alexandria via LeMat-Bulk: crystalline LaCuSnHg at its relaxed geometry (GGA-PBE).

Values from the calculation:
Formation enthalpy at 0 K (meV per atom): -336

a = 7.2645 Å, b = 7.2645 Å, c = 7.2645 Å
α = 90.00°, β = 90.00°, γ = 90.00°
With the nearest neighbours (Å) after each atom.
Space group F-43m (No. 216)
One atom of each set of equivalent atoms:
1 La 0.0000 0.0000 0.0000 (multiplicity 4)  4 Hg 3.15, 4 Cu 3.15
2 Cu 0.2500 0.2500 0.7500 (multiplicity 4)  4 La 3.15, 4 Sn 3.15
3 Sn 0.0000 0.0000 0.5000 (multiplicity 4)  4 Cu 3.15, 4 Hg 3.15
4 Hg 0.2500 0.2500 0.2500 (multiplicity 4)  4 Sn 3.15, 4 La 3.15

=====

Record 8
Entry from Alexandria via LeMat-Bulk: crystalline LaTbCuHg at its relaxed geometry (GGA-PBE).

Values from the calculation:
Formation enthalpy at 0 K (meV per atom): -293

a = 7.4458 Å, b = 7.4458 Å, c = 7.4458 Å
α = 90.00°, β = 90.00°, γ = 90.00°
With the nearest neighbours (Å) after each atom.
Space group F-43m (No. 216)
One atom of each set of equivalent atoms:
1 La 0.0000 0.0000 0.0000 (multiplicity 4)  4 Hg 3.22, 4 Cu 3.22
2 Tb 0.0000 0.0000 0.5000 (multiplicity 4)  4 Hg 3.22, 4 Cu 3.22
3 Cu 0.2500 0.2500 0.2500 (multiplicity 4)  4 Tb 3.22, 4 La 3.22
4 Hg 0.2500 0.2500 0.7500 (multiplicity 4)  4 La 3.22, 4 Tb 3.22

=====

Record 9
Entry from Alexandria via LeMat-Bulk: crystalline LaCuTc2Hg at its relaxed geometry (GGA-PBE).

Values from the calculation:
Formation enthalpy at 0 K (meV per atom): 1285

a = 5.1063 Å, b = 5.1063 Å, c = 4.7282 Å
α = 90.00°, β = 90.00°, γ = 90.00°
With the nearest neighbours (Å) after each atom.
Space group P4/mmm (No. 123)
One atom of each set of equivalent atoms:
1 La 0.0000 0.0000 0.0000 (multiplicity 1)  8 Tc 3.48, 4 Cu 3.61
2 Cu 0.5000 0.5000 0.0000 (multiplicity 1)  2 Hg 2.36
3 Tc 0.0000 0.5000 0.5000 (multiplicity 2)  2 Hg 2.55
4 Hg 0.5000 0.5000 0.5000 (multiplicity 1)  2 Cu 2.36, 4 Tc 2.55

=====

Record 10
Entry from Alexandria via LeMat-Bulk: crystalline LaTiCuHg2 at its relaxed geometry (GGA-PBE).

Values from the calculation:
Formation enthalpy at 0 K (meV per atom): 662

a = 5.3218 Å, b = 5.3218 Å, c = 5.2374 Å
α = 90.00°, β = 90.00°, γ = 90.00°
With the nearest neighbours (Å) after each atom.
Space group P4/mmm (No. 123)
One atom of each set of equivalent atoms:
1 La 0.0000 0.0000 0.0000 (multiplicity 1)  2 Ti 2.62
2 Ti 0.0000 0.0000 0.5000 (multiplicity 1)  2 La 2.62, 4 Hg 2.66
3 Cu 0.5000 0.5000 0.0000 (multiplicity 1)  8 Hg 3.73, 4 La 3.76
4 Hg 0.0000 0.5000 0.5000 (multiplicity 2)  2 Ti 2.66

=====

Record 11
Entry from Alexandria via LeMat-Bulk: crystalline La4TlCuHg2 at its relaxed geometry (GGA-PBE).

Values from the calculation:
Formation enthalpy at 0 K (meV per atom): -375

a = 5.4831 Å, b = 5.4831 Å, c = 26.8200 Å
α = 90.00°, β = 90.00°, γ = 120.00°
With the nearest neighbours (Å) after each atom.
Space group R-3m (No. 166, hexagonal axes)
One atom of each set of equivalent atoms:
1 La 0.0000 0.0000 0.1169 (multiplicity 6)  1 Cu 3.13, 4 Hg 3.25-3.41, 3 Tl 3.44
2 La 0.0000 0.0000 0.3670 (multiplicity 6)  3 Cu 3.29, 4 Hg 3.29-3.50, 1 Tl 3.57, 3 La 3.64
3 Tl 0.0000 0.0000 0.5000 (multiplicity 3)  8 La 3.44-3.57, 6 Hg 3.79
4 Cu 0.0000 0.0000 0.0000 (multiplicity 3)  8 La 3.13-3.29
5 Hg 0.0000 0.0000 0.2442 (multiplicity 6)  8 La 3.25-3.50

=====

Record 12
Entry from Alexandria via LeMat-Bulk: crystalline LaTmCuHg at its relaxed geometry (GGA-PBE).

Values from the calculation:
Formation enthalpy at 0 K (meV per atom): -294

a = 7.3882 Å, b = 7.3882 Å, c = 7.3882 Å
α = 90.00°, β = 90.00°, γ = 90.00°
With the nearest neighbours (Å) after each atom.
Space group F-43m (No. 216)
One atom of each set of equivalent atoms:
1 La 0.0000 0.0000 0.0000 (multiplicity 4)  4 Hg 3.20, 4 Cu 3.20
2 Tm 0.0000 0.0000 0.5000 (multiplicity 4)  4 Hg 3.20, 4 Cu 3.20
3 Cu 0.2500 0.2500 0.7500 (multiplicity 4)  4 La 3.20, 4 Tm 3.20
4 Hg 0.2500 0.2500 0.2500 (multiplicity 4)  4 La 3.20, 4 Tm 3.20

=====

Listing Fermi-level density of states for the structures above in their given order: 3.18, 3.29, 3.64, 3.16, 4.38, 5.12, 1.60, 2.46, 6.46, 4.77, 9.42, 2.09 states/eV/f.u..